No. 1
ZrMnGaSe2, relaxed, DFT PBE; formation energy from raw total energies = 0.32 eV per atom
1.0
-5.578 -0.527 -0.064
0.518 -5.198 -2.348
0.158 -2.293 5.110
Se Ga Zr Mn
2 1 1 1
Cartesian
-2.789 -0.263 -0.032
0.079 -1.146 2.555
0.259 -2.599 -1.174
0.000 0.000 0.000
-2.451 -4.009 1.349


No. 2
MnGaSi3, relaxed, DFT PBE; formation energy from raw total energies = 0.31 eV per atom
1.0
4.426 0.000 0.000
0.000 4.426 0.000
0.000 0.000 4.426
Ga Si Mn
1 3 1
Cartesian
2.213 2.213 2.213
0.000 2.213 0.000
0.000 0.000 2.213
2.213 0.000 0.000
0.000 0.000 0.000


No. 3
Mn2GaSi2, relaxed, DFT PBE; formation energy from raw total energies = -0.15 eV per atom; ΔE to the lowest computed polymorph = 0 meV per atom
1.0
6.505 0.000 0.000
0.000 6.505 0.000
0.000 0.000 2.960
Si Ga Mn
4 2 4
Cartesian
5.587 2.334 1.480
2.334 0.918 1.480
0.918 4.171 1.480
4.171 5.587 1.480
3.253 3.253 0.000
0.000 0.000 0.000
2.262 5.514 0.000
5.514 4.244 0.000
4.244 0.991 0.000
0.991 2.262 0.000


No. 4
Mn2Ga2Si, relaxed, DFT PBE; formation energy from raw total energies = 0.45 eV per atom
1.0
3.768 0.000 0.000
0.000 3.768 0.000
1.884 1.884 5.817
Ga Si Mn
2 1 2
Cartesian
1.884 1.884 1.210
3.768 3.768 4.606
0.000 0.000 0.000
3.768 1.884 2.908
1.884 3.768 2.908